Computed, not measured: a geometry-optimized Zr2AsH2 structure at the PBE level of DFT.

a b c (Å): 5.8471 5.8471 5.4846
angles (deg): 113.81 113.81 104.04
Last column: nearest neighbours and their distance in Å.
Positions (direct):
Zr  0.1643  0.3357  0.7500  4 H 2.10-2.20
Zr  0.4146  0.0854  0.2500  4 H 2.10-2.20
Zr  0.5854  0.9146  0.7500  4 H 2.10-2.20
Zr  0.8357  0.6643  0.2500  4 H 2.10-2.20
As  0.8748  0.6252  0.7500  6 Zr 2.67-2.77
As  0.1252  0.3748  0.2500  6 Zr 2.67-2.77
H  0.2495  0.9991  0.4988  1 H 2.08, 4 Zr 2.10-2.20
H  0.4991  0.7495  0.9988  1 H 2.08, 4 Zr 2.10-2.20
H  0.7505  0.0009  0.5012  1 H 2.08, 4 Zr 2.10-2.20
H  0.5009  0.2505  0.0012  1 H 2.08, 4 Zr 2.10-2.20

Values from the calculation:
DOS at the Fermi energy (states/eV/f.u.): 1.5
DFT total energy (eV per atom): -6.3271



Computed, not measured: a geometry-optimized ZrAsH structure at the PBE level of DFT.

a b c (Å): 3.6191 6.2709 7.4659
angles (deg): 90.00 90.00 90.00
Last column: nearest neighbours and their distance in Å.
Positions (direct):
Zr  0.7500  0.4168  0.2499  3 H 2.09
Zr  0.7500  0.0832  0.7499  3 H 2.09
Zr  0.2500  0.9168  0.2501  3 H 2.09
Zr  0.2500  0.5832  0.7501  3 H 2.09
As  0.2500  0.2499  0.0000  6 H 2.80, 6 Zr 2.80
As  0.2500  0.2501  0.5000  6 H 2.80, 6 Zr 2.80
As  0.7500  0.7499  0.5000  6 H 2.80, 6 Zr 2.80
As  0.7500  0.7501  0.0000  6 H 2.80, 6 Zr 2.80
H  0.2500  0.9165  0.7501  3 Zr 2.09
H  0.2500  0.5835  0.2501  3 Zr 2.09
H  0.7500  0.4165  0.7499  3 Zr 2.09
H  0.7500  0.0835  0.2499  3 Zr 2.09

Values from the calculation:
DOS at the Fermi energy (states/eV/f.u.): 0.1
DFT total energy (eV per atom): -6.3275



Computed, not measured: a geometry-optimized ZrAsH3 structure at the PBE level of DFT.

a b c (Å): 3.7912 3.7912 3.7912
angles (deg): 90.00 90.00 90.00
Last column: nearest neighbours and their distance in Å.
Positions (direct):
H  0.0000  0.5000  0.0000  2 Zr 1.90
H  0.0000  0.0000  0.5000  2 Zr 1.90
H  0.5000  0.0000  0.0000  2 Zr 1.90
As  0.5000  0.5000  0.5000  12 H 2.68
Zr  0.0000  0.0000  0.0000  6 H 1.90

Values from the calculation:
DOS at the Fermi energy (states/eV/f.u.): 1.4
DFT total energy (eV per atom): -4.5355



Computed, not measured: a geometry-optimized Zr4As2H structure at the PBE level of DFT.

a b c (Å): 4.0543 4.0543 7.9845
angles (deg): 104.71 104.71 90.00
Last column: nearest neighbours and their distance in Å.
Positions (direct):
H  0.0000  0.0000  0.0000  4 Zr 2.03
As  0.6388  0.6388  0.2777  9 Zr 2.75-2.92
As  0.3612  0.3612  0.7223  9 Zr 2.75-2.92
Zr  0.8237  0.8237  0.6473  1 H 2.63, 5 As 2.75-2.92
Zr  0.1763  0.1763  0.3527  1 H 2.63, 5 As 2.75-2.92
Zr  0.0000  0.5000  0.0000  2 H 2.03
Zr  0.5000  0.0000  0.0000  2 H 2.03

Values from the calculation:
DOS at the Fermi energy (states/eV/f.u.): 3.3
DFT total energy (eV per atom): -7.5086



Computed, not measured: a geometry-optimized ZrAs2H4 structure at the PBE level of DFT.

a b c (Å): 3.8449 3.8449 6.0729
angles (deg): 71.54 71.54 90.00
Last column: nearest neighbours and their distance in Å.
Positions (direct):
H  0.7883  0.7883  0.4233  1 As 1.68
H  0.2117  0.2117  0.5767  1 As 1.68
H  0.0000  0.5000  0.0000  2 Zr 1.92
H  0.5000  0.0000  0.0000  2 Zr 1.92
As  0.6338  0.6338  0.7325  1 H 1.68
As  0.3662  0.3662  0.2675  1 H 1.68
Zr  0.0000  0.0000  0.0000  4 H 1.92

Values from the calculation:
DOS at the Fermi energy (states/eV/f.u.): 2.2
DFT total energy (eV per atom): -4.2239



Computed, not measured: a geometry-optimized Zr2AsH structure at the PBE level of DFT.

a b c (Å): 3.5554 3.5554 6.3869
angles (deg): 73.84 73.84 60.00
Last column: nearest neighbours and their distance in Å.
Positions (direct):
H  0.0000  0.0000  0.0000  6 Zr 2.43
As  0.5000  0.5000  0.5000  6 Zr 2.68
Zr  0.2620  0.2620  0.2140  3 H 2.43, 3 As 2.68
Zr  0.7380  0.7380  0.7860  3 H 2.43, 3 As 2.68

Values from the calculation:
DOS at the Fermi energy (states/eV/f.u.): 2.6
DFT total energy (eV per atom): -6.8608



Computed, not measured: a geometry-optimized ZrAs3H structure at the PBE level of DFT.

a b c (Å): 4.3086 4.3086 4.3086
angles (deg): 90.00 90.00 90.00
Last column: nearest neighbours and their distance in Å.
Positions (direct):
H  0.0000  0.0000  0.0000  6 As 2.15
As  0.0000  0.5000  0.0000  2 H 2.15
As  0.0000  0.0000  0.5000  2 H 2.15
As  0.5000  0.0000  0.0000  2 H 2.15
Zr  0.5000  0.5000  0.5000  12 As 3.05

Values from the calculation:
DOS at the Fermi energy (states/eV/f.u.): 4.4
DFT total energy (eV per atom): -5.0198



Computed, not measured: a geometry-optimized ZrAsH structure at the PBE level of DFT.

a b c (Å): 4.9672 4.5681 5.3829
angles (deg): 97.93 90.00 122.94
Last column: nearest neighbours and their distance in Å.
Positions (direct):
H  0.9651  0.9303  0.0502  1 H 0.82
H  0.0349  0.0697  0.9498  1 H 0.82
As  0.3501  0.7002  0.7627  5 Zr 2.69-2.78, 5 H 2.77-2.98
As  0.6499  0.2998  0.2373  5 Zr 2.69-2.78, 5 H 2.77-2.98
Zr  0.7105  0.4210  0.7438  2 H 2.34-2.55
Zr  0.2895  0.5790  0.2562  2 H 2.34-2.55

Values from the calculation:
DOS at the Fermi energy (states/eV/f.u.): 1.1
DFT total energy (eV per atom): -5.9673



Computed, not measured: a geometry-optimized Zr3AsH3 structure at the PBE level of DFT.

a b c (Å): 6.0675 6.0675 7.0343
angles (deg): 64.45 64.45 60.00
Last column: nearest neighbours and their distance in Å.
Positions (direct):
Zr  0.2303  0.5880  0.2735  4 H 2.08-2.14
Zr  0.9082  0.2303  0.2735  4 H 2.08-2.14
Zr  0.5880  0.9082  0.2735  4 H 2.08-2.14
Zr  0.4120  0.0918  0.7265  4 H 2.08-2.14
Zr  0.0918  0.7697  0.7265  4 H 2.08-2.14
Zr  0.7697  0.4120  0.7265  4 H 2.08-2.14
As  0.3333  0.3333  0.0002  6 Zr 2.65
As  0.6667  0.6667  0.9998  6 Zr 2.65
H  0.4737  0.7855  0.6139  4 Zr 2.08-2.14
H  0.7855  0.1269  0.6139  4 Zr 2.08-2.14
H  0.1269  0.4737  0.6139  4 Zr 2.08-2.14
H  0.8731  0.5263  0.3861  4 Zr 2.08-2.14
H  0.2145  0.8731  0.3861  4 Zr 2.08-2.14
H  0.5263  0.2145  0.3861  4 Zr 2.08-2.14

Values from the calculation:
DOS at the Fermi energy (states/eV/f.u.): 4.6
DFT total energy (eV per atom): -6.3562



Computed, not measured: a geometry-optimized ZrAsH2 structure at the PBE level of DFT.

a b c (Å): 3.3627 3.3627 5.2781
angles (deg): 71.30 71.30 61.21
Last column: nearest neighbours and their distance in Å.
Positions (direct):
Zr  0.6944  0.6944  0.9183  6 H 1.99-2.11
As  0.4980  0.4980  0.4993  8 H 2.83-3.11, 4 Zr 2.83-2.85
H  0.0009  0.0009  0.0056  3 H 1.94-2.01, 3 Zr 1.99-2.00
H  0.3067  0.3067  0.0769  3 H 1.94-2.01, 3 Zr 2.08-2.11

Values from the calculation:
DOS at the Fermi energy (states/eV/f.u.): 1.0
DFT total energy (eV per atom): -5.4236



Computed, not measured: a geometry-optimized Zr5As4H structure at the PBE level of DFT.

a b c (Å): 5.4430 6.5570 6.5570
angles (deg): 80.08 65.48 65.48
Last column: nearest neighbours and their distance in Å.
Positions (direct):
Zr  0.8939  0.3920  0.8124  1 H 2.63, 5 As 2.68-2.72
Zr  0.2859  0.8124  0.6080  1 H 2.63, 5 As 2.68-2.72
Zr  0.7063  0.1876  0.3920  1 H 2.63, 5 As 2.68-2.72
Zr  0.0983  0.6080  0.1876  1 H 2.63, 5 As 2.68-2.72
Zr  0.4626  0.0000  0.0000  1 H 2.09
As  0.4031  0.3961  0.7899  6 Zr 2.68-2.72
As  0.7992  0.7899  0.6039  6 Zr 2.68-2.72
As  0.1930  0.2101  0.3961  6 Zr 2.68-2.72
As  0.5891  0.6039  0.2101  6 Zr 2.68-2.72
H  0.0789  0.0000  0.0000  1 Zr 2.09

Values from the calculation:
DOS at the Fermi energy (states/eV/f.u.): 4.5
DFT total energy (eV per atom): -7.3253



Computed, not measured: a geometry-optimized ZrAsH3 structure at the PBE level of DFT.

a b c (Å): 3.7016 3.7016 3.7016
angles (deg): 90.00 90.00 90.00
Last column: nearest neighbours and their distance in Å.
Positions (direct):
H  0.0000  0.5000  0.0000  2 As 1.85
H  0.0000  0.0000  0.5000  2 As 1.85
H  0.5000  0.0000  0.0000  2 As 1.85
As  0.0000  0.0000  0.0000  6 H 1.85
Zr  0.5000  0.5000  0.5000  12 H 2.62

Values from the calculation:
DOS at the Fermi energy (states/eV/f.u.): 4.6
DFT total energy (eV per atom): -4.0971



Computed, not measured: a geometry-optimized ZrAs3H structure at the PBE level of DFT.

a b c (Å): 5.2055 5.2055 5.2055
angles (deg): 90.00 90.00 90.00
Last column: nearest neighbours and their distance in Å.
Positions (direct):
H  0.5000  0.5000  0.5000  12 As 3.68
As  0.0000  0.5000  0.0000  2 Zr 2.60
As  0.0000  0.0000  0.5000  2 Zr 2.60
As  0.5000  0.0000  0.0000  2 Zr 2.60
Zr  0.0000  0.0000  0.0000  6 As 2.60

Values from the calculation:
DOS at the Fermi energy (states/eV/f.u.): 4.5
DFT total energy (eV per atom): -4.5064



Computed, not measured: a geometry-optimized Zr2AsH structure at the PBE level of DFT.

a b c (Å): 5.4705 5.4645 9.0663
angles (deg): 91.48 90.00 90.00
Last column: nearest neighbours and their distance in Å.
Positions (direct):
Zr  0.7522  0.9875  0.9175  2 H 2.12-2.15
Zr  0.2478  0.0125  0.0825  2 H 2.12-2.15
Zr  0.7522  0.5125  0.5825  2 H 2.12-2.15
Zr  0.2478  0.4875  0.4175  2 H 2.12-2.15
Zr  0.7555  0.4950  0.1650  2 H 2.14-2.15
Zr  0.2445  0.5050  0.8350  2 H 2.14-2.15
Zr  0.7555  0.0050  0.3350  2 H 2.14-2.15
Zr  0.2445  0.9950  0.6650  2 H 2.14-2.15
As  0.2588  0.9882  0.3732  6 Zr 2.64-2.78
As  0.7412  0.0118  0.6268  6 Zr 2.64-2.78
As  0.2588  0.5118  0.1268  6 Zr 2.64-2.78
As  0.7412  0.4882  0.8732  6 Zr 2.64-2.78
H  0.1229  0.6247  0.6247  4 Zr 2.12-2.15
H  0.8771  0.3753  0.3753  4 Zr 2.12-2.15
H  0.1229  0.8753  0.8753  4 Zr 2.12-2.15
H  0.8771  0.1247  0.1247  4 Zr 2.12-2.15

Values from the calculation:
DOS at the Fermi energy (states/eV/f.u.): 1.3
DFT total energy (eV per atom): -6.8835



Computed, not measured: a geometry-optimized Zr2AsH structure at the PBE level of DFT.

a b c (Å): 6.4219 6.4219 5.5137
angles (deg): 54.38 54.38 90.00
Last column: nearest neighbours and their distance in Å.
Positions (direct):
H  0.5000  0.5000  0.0000  4 Zr 2.09
H  0.2500  0.7500  0.5000  4 Zr 2.09
As  0.0000  0.0000  0.0000  8 Zr 2.78-3.04
As  0.7500  0.2500  0.5000  8 Zr 2.78-3.04
Zr  0.5431  0.1250  0.2500  2 H 2.09
Zr  0.2069  0.6250  0.2500  2 H 2.09
Zr  0.3750  0.4569  0.7500  2 H 2.09
Zr  0.8750  0.7931  0.7500  2 H 2.09

Values from the calculation:
DOS at the Fermi energy (states/eV/f.u.): 4.6
DFT total energy (eV per atom): -6.9265



Computed, not measured: a geometry-optimized ZrAsH2 structure at the PBE level of DFT.

a b c (Å): 3.9858 3.9858 3.9858
angles (deg): 60.00 60.00 60.00
Last column: nearest neighbours and their distance in Å.
Positions (direct):
H  0.2500  0.2500  0.2500  4 Zr 2.44, 4 As 2.44
H  0.7500  0.7500  0.7500  4 Zr 2.44, 4 As 2.44
As  0.0000  0.0000  0.0000  8 H 2.44
Zr  0.5000  0.5000  0.5000  8 H 2.44

Values from the calculation:
DOS at the Fermi energy (states/eV/f.u.): 2.7
DFT total energy (eV per atom): -4.8736



Computed, not measured: a geometry-optimized Zr2AsH2 structure at the PBE level of DFT.

a b c (Å): 3.3730 3.3730 6.2612
angles (deg): 74.37 74.37 90.00
Last column: nearest neighbours and their distance in Å.
Positions (direct):
H  0.7500  0.2500  0.5000  4 Zr 2.16, 4 H 2.39
H  0.2500  0.7500  0.5000  4 Zr 2.16, 4 H 2.39
As  0.0000  0.0000  0.0000  8 Zr 2.84
Zr  0.3666  0.3666  0.2669  4 H 2.16
Zr  0.6334  0.6334  0.7331  4 H 2.16

Values from the calculation:
DOS at the Fermi energy (states/eV/f.u.): 3.2
DFT total energy (eV per atom): -6.3775



Computed, not measured: a geometry-optimized ZrAsH2 structure at the PBE level of DFT.

a b c (Å): 3.9847 3.9847 7.1166
angles (deg): 73.74 73.74 90.00
Last column: nearest neighbours and their distance in Å.
Positions (direct):
H  0.8738  0.1250  0.2500  2 Zr 1.91, 2 H 1.99
H  0.8762  0.6250  0.2500  2 Zr 1.91, 2 H 1.99
H  0.3750  0.1262  0.7500  2 Zr 1.91, 2 H 1.99
H  0.8750  0.1238  0.7500  2 Zr 1.91, 2 H 1.99
As  0.5000  0.5000  0.0000  8 H 2.76-2.77, 4 Zr 2.82
As  0.2500  0.7500  0.5000  8 H 2.76-2.77, 4 Zr 2.82
Zr  0.0000  0.0000  0.0000  4 H 1.91
Zr  0.7500  0.2500  0.5000  4 H 1.91

Values from the calculation:
DOS at the Fermi energy (states/eV/f.u.): 1.7
DFT total energy (eV per atom): -5.1482



Computed, not measured: a geometry-optimized Zr4As3H structure at the PBE level of DFT.

a b c (Å): 5.4147 7.2904 8.4335
angles (deg): 90.00 90.00 90.00
Last column: nearest neighbours and their distance in Å.
Positions (direct):
Zr  0.0830  0.8502  0.0000  1 H 2.08
Zr  0.5727  0.1284  0.0000  1 H 2.05
Zr  0.0823  0.2655  0.1948  1 H 2.09
Zr  0.5823  0.7345  0.3052  1 H 2.09
Zr  0.0727  0.8716  0.5000  1 H 2.05
Zr  0.5830  0.1498  0.5000  1 H 2.08
Zr  0.5823  0.7345  0.6948  1 H 2.09
Zr  0.0823  0.2655  0.8052  1 H 2.09
As  0.5820  0.7654  0.0000  5 Zr 2.58-2.78
As  0.0812  0.6348  0.2654  5 Zr 2.63-2.83
As  0.5812  0.3652  0.2346  5 Zr 2.63-2.83
As  0.0820  0.2346  0.5000  5 Zr 2.58-2.78
As  0.5812  0.3652  0.7654  5 Zr 2.63-2.83
As  0.0812  0.6348  0.7346  5 Zr 2.63-2.83
H  0.9506  0.1177  0.0000  4 Zr 2.05-2.09
H  0.4506  0.8823  0.5000  4 Zr 2.05-2.09

Values from the calculation:
DOS at the Fermi energy (states/eV/f.u.): 2.5
DFT total energy (eV per atom): -7.0745



Computed, not measured: a geometry-optimized HfAs structure at the PBE level of DFT.

a b c (Å): 3.6970 3.6970 6.7747
angles (deg): 90.00 90.00 120.00
Last column: nearest neighbours and their distance in Å.
Positions (direct):
Hf  0.3333  0.6667  0.7500  6 As 2.72
Hf  0.6667  0.3333  0.2500  6 As 2.72
As  0.0000  0.0000  0.0000  6 Hf 2.72
As  0.0000  0.0000  0.5000  6 Hf 2.72

Values from the calculation:
DOS at the Fermi energy (states/eV/f.u.): 1.2
Energy of formation (eV per atom): -0.82